4
Lattice="2.812 0.000 0.000 0.000 2.808 0.000 -1.281 0.000 5.238" Properties=species:S:1:pos:R:3 comment="PBE Cr3C, relaxed" e_tot_ev_per_atom=-9.268 dos_at_fermi_per_ev_cell=2.385 relative_energy_mev_per_atom=349.0 ef_mev_per_atom=255.7 magmom_total_mub_per_cell=0.00 pbc="T T T"
Cr 0.000 0.000 0.000
Cr 0.074 1.404 3.765
Cr 1.457 1.404 1.473
C -0.640 0.000 2.619

=====

4
Lattice="2.071 1.195 9.465 -2.071 1.195 9.465 0.000 -2.391 9.465" Properties=species:S:1:pos:R:3 comment="PBE AcSm2Ge, relaxed" e_tot_ev_per_atom=-4.840 dos_at_fermi_per_ev_cell=4.157 relative_energy_mev_per_atom=5.3 ef_mev_per_atom=-298.5 magmom_total_mub_per_cell=0.00 pbc="T T T"
Ac 0.000 0.000 0.000
Sm 0.000 0.000 15.788
Sm 0.000 0.000 21.952
Ge 0.000 0.000 4.655

=====

10
Lattice="8.675 -2.001 0.000 8.675 2.001 0.000 -1.983 0.000 7.411" Properties=species:S:1:pos:R:3 comment="PBE Th4S5N, relaxed" e_tot_ev_per_atom=-7.588 dos_at_fermi_per_ev_cell=4.744 magmom_total_mub_per_cell=0.00 raw_formation_energy_ev_per_atom=-1.724 pbc="T T T"
Th -0.506 0.000 2.000
Th 5.108 0.000 2.961
Th 10.260 0.000 4.450
Th 15.874 0.000 5.411
S 1.153 0.000 6.280
S 2.278 0.000 2.556
S 8.675 0.000 0.000
S 13.089 0.000 4.855
S 14.215 0.000 1.131
N 7.684 0.000 3.706

=====

4
Lattice="1.679 0.970 10.817 -1.679 0.970 10.817 0.000 -1.939 10.817" Properties=species:S:1:pos:R:3 comment="PBE Ho2MgCu, relaxed" e_tot_ev_per_atom=-3.479 dos_at_fermi_per_ev_cell=3.473 relative_energy_mev_per_atom=384.6 ef_mev_per_atom=232.4 magmom_total_mub_per_cell=0.00 pbc="T T T"
Ho 0.000 0.000 3.289
Ho 0.000 0.000 29.161
Mg 0.000 0.000 0.000
Cu 0.000 0.000 16.225

=====

4
Lattice="3.775 0.000 0.000 0.000 3.775 0.000 0.000 0.000 8.051" Properties=species:S:1:pos:R:3 comment="PBE LaPmTlAg, relaxed" e_tot_ev_per_atom=-4.054 dos_at_fermi_per_ev_cell=4.161 relative_energy_mev_per_atom=0.0 ef_mev_per_atom=-330.6 magmom_total_mub_per_cell=0.50 pbc="T T T"
La 0.000 0.000 0.000
Pm 0.000 0.000 4.238
Tl 1.888 1.888 2.179
Ag 1.888 1.888 6.001

=====

8
Lattice="-3.894 3.894 2.983 3.894 -3.894 2.983 3.894 3.894 -2.983" Properties=species:S:1:pos:R:3 comment="PBE ZrSb2Ir, relaxed" e_tot_ev_per_atom=-6.492 dos_at_fermi_per_ev_cell=7.142 relative_energy_mev_per_atom=288.6 magmom_total_mub_per_cell=0.00 raw_formation_energy_ev_per_atom=-0.078 pbc="T T T"
Zr 0.000 0.000 0.000
Zr 0.000 3.894 1.491
Sb 1.947 -1.587 2.237
Sb 2.307 1.947 0.746
Sb 1.947 5.481 -0.746
Sb 1.587 1.947 3.729
Ir 3.894 0.000 1.491
Ir 0.000 0.000 2.983

=====

Number 1 is which compound? Cr3C